Material: TbPm2Pr3S6
Method: DFT, PBE-GGA
State: relaxed

Unit cell a=6.9959 b=12.1540 c=7.0362 alpha=90.00 beta=109.40 gamma=90.00
Closest atoms and distances in Å follow each position.
Space group C2/m (No. 12)
One atom of each set of equivalent atoms:
Tb1 0.0000 0.0000 0.0000 x2  6 S 2.79-2.80
Pm1 0.0000 0.3332 0.0000 x4  6 S 2.84-2.85
Pr1 0.0000 0.1694 0.5000 x4  6 S 2.89-2.92
Pr2 0.0000 0.5000 0.5000 x2  6 S 2.89-2.93
S1 0.2433 0.1637 0.2393 x8  1 Tb 2.79, 2 Pm 2.84, 3 Pr 2.89-2.92
S2 0.2467 0.0000 0.7583 x4  1 Tb 2.80, 2 Pm 2.85, 3 Pr 2.90-2.93

* magnetic moment: 0.00 μB per formula unit
* uncorrected energy: -0.2375 hartree per atom
* Fermi-level density of states: 0.44 states/eV/atom

Material: PmPrTeS
Method: DFT, PBE-GGA
State: relaxed

Unit cell a=4.1776 b=4.1776 c=22.1098 alpha=90.00 beta=90.00 gamma=120.00
Closest atoms and distances in Å follow each position.
Space group R3m (No. 160, hexagonal axes)
One atom of each set of equivalent atoms:
Pm1 0.0000 0.0000 0.0000 x3  3 S 2.82
Pr1 0.0000 0.0000 0.1938 x3  3 S 2.91, 3 Te 3.25
Te1 0.0000 0.0000 0.4285 x3  3 Pm 3.20, 3 Pr 3.25
S1 0.0000 0.0000 0.6005 x3  3 Pm 2.82, 3 Pr 2.91

* magnetic moment: 0.00 μB per formula unit
* uncorrected energy: -0.2188 hartree per atom
* Fermi-level density of states: 0.04 states/eV/atom

Material: PmPr2Te2S2
Method: DFT, PBE-GGA
State: relaxed

Unit cell a=5.2054 b=5.2054 c=16.1601 alpha=90.00 beta=90.00 gamma=90.00
Closest atoms and distances in Å follow each position.
Space group I4/mmm (No. 139)
One atom of each set of equivalent atoms:
Pm1 0.0000 0.0000 0.0000 x2  4 S 2.60
Pr1 0.0000 0.0000 0.3853 x4  1 Te 3.18, 4 S 3.20
Te1 0.0000 0.0000 0.1887 x4  1 Pm 3.05, 1 Pr 3.18
S1 0.0000 0.5000 0.0000 x4  2 Pm 2.60

* magnetic moment: 0.00 μB per formula unit
* uncorrected energy: -0.2039 hartree per atom
* Fermi-level density of states: 0.42 states/eV/atom

Material: Pm2Pr3ThS6
Method: DFT, PBE-GGA
State: relaxed

Unit cell a=17.7247 b=4.0703 c=8.1515 alpha=90.00 beta=103.35 gamma=90.00
Closest atoms and distances in Å follow each position.
Space group C2/m (No. 12)
One atom of each set of equivalent atoms:
Pm1 0.1661 0.0000 0.3318 x4  6 S 2.84-2.86
Pr1 0.0000 0.5000 0.5000 x2  6 S 2.90-2.91
Pr2 0.1663 0.0000 0.8341 x4  6 S 2.89-2.91
Th1 0.0000 0.5000 0.0000 x2  6 S 2.86
S1 0.0013 0.0000 0.2478 x4  1 Pm 2.84, 2 Th 2.86, 3 Pr 2.89-2.90
S2 0.1658 0.5000 0.0873 x4  2 Pm 2.85, 1 Th 2.86, 3 Pr 2.90
S3 0.1688 0.5000 0.5797 x4  3 Pm 2.85-2.86, 3 Pr 2.91

* magnetic moment: 0.00 μB per formula unit
* uncorrected energy: -0.2447 hartree per atom
* Fermi-level density of states: 0.50 states/eV/atom

Material: PmPr3Th2S6
Method: DFT, PBE-GGA
State: relaxed

Unit cell a=7.0498 b=12.1762 c=7.0689 alpha=90.00 beta=109.38 gamma=90.00
Closest atoms and distances in Å follow each position.
Space group C2/m (No. 12)
One atom of each set of equivalent atoms:
Pm1 0.0000 0.0000 0.0000 x2  6 S 2.86
Pr1 0.0000 0.1645 0.5000 x4  6 S 2.89-2.91
Pr2 0.0000 0.5000 0.5000 x2  6 S 2.90
Th1 0.0000 0.3330 0.0000 x4  6 S 2.85-2.86
S1 0.2473 0.5000 0.2432 x4  2 Th 2.85, 1 Pm 2.86, 3 Pr 2.89-2.90
S2 0.2488 0.1669 0.2456 x8  2 Th 2.86, 1 Pm 2.86, 3 Pr 2.90-2.91

* magnetic moment: 0.00 μB per formula unit
* uncorrected energy: -0.2515 hartree per atom
* Fermi-level density of states: 0.56 states/eV/atom

Material: Pm4Pr3ThS8
Method: DFT, PBE-GGA
State: relaxed

Unit cell a=8.1168 b=8.1168 c=19.9220 alpha=90.00 beta=90.00 gamma=120.00
Closest atoms and distances in Å follow each position.
Space group R-3m (No. 166, hexagonal axes)
One atom of each set of equivalent atoms:
Pm1 0.0000 0.0000 0.0000 x3  6 S 2.88
Pm2 0.0000 0.5000 0.0000 x9  6 S 2.85
Pr1 0.0000 0.5000 0.5000 x9  6 S 2.90
Th1 0.0000 0.0000 0.5000 x3  6 S 2.87
S1 0.0000 0.0000 0.2522 x6  3 Pm 2.85, 3 Pr 2.90
S2 0.0035 0.5017 0.2513 x18  3 Pm 2.85-2.88, 1 Th 2.87, 2 Pr 2.90

* magnetic moment: 0.00 μB per formula unit
* uncorrected energy: -0.2429 hartree per atom
* Fermi-level density of states: 0.61 states/eV/atom

Material: Pm4PrTh3S8
Method: DFT, PBE-GGA
State: relaxed

Unit cell a=8.0481 b=8.0481 c=19.9872 alpha=90.00 beta=90.00 gamma=120.00
Closest atoms and distances in Å follow each position.
Space group R-3m (No. 166, hexagonal axes)
One atom of each set of equivalent atoms:
Pm1 0.0000 0.0000 0.0000 x3  6 S 2.83
Pm2 0.0000 0.5000 0.0000 x9  6 S 2.85
Pr1 0.0000 0.0000 0.5000 x3  6 S 2.88
Th1 0.0000 0.5000 0.5000 x9  6 S 2.87
S1 0.0000 0.0000 0.2511 x6  3 Pm 2.85, 3 Th 2.87
S2 0.0020 0.5010 0.7489 x18  3 Pm 2.83-2.85, 2 Th 2.87, 1 Pr 2.88

* magnetic moment: 0.00 μB per formula unit
* uncorrected energy: -0.2534 hartree per atom
* Fermi-level density of states: 0.41 states/eV/atom

Material: Pm3PrTh4S8
Method: DFT, PBE-GGA
State: relaxed

Unit cell a=8.0227 b=8.0227 c=20.1305 alpha=90.00 beta=90.00 gamma=120.00
Closest atoms and distances in Å follow each position.
Space group R-3m (No. 166, hexagonal axes)
One atom of each set of equivalent atoms:
Pm1 0.0000 0.5000 0.0000 x9  6 S 2.85
Pr1 0.0000 0.0000 0.0000 x3  6 S 2.87
Th1 0.0000 0.0000 0.5000 x3  6 S 2.85
Th2 0.0000 0.5000 0.5000 x9  6 S 2.87
S1 0.0000 0.0000 0.2511 x6  3 Pm 2.85, 3 Th 2.87
S2 0.0026 0.5013 0.2505 x18  2 Pm 2.85, 3 Th 2.85-2.87, 1 Pr 2.87

* magnetic moment: 0.00 μB per formula unit
* uncorrected energy: -0.2587 hartree per atom
* Fermi-level density of states: 0.36 states/eV/atom

Material: Pm2PrThS4
Method: DFT, PBE-GGA
State: relaxed

Unit cell a=7.0216 b=4.0326 c=7.0360 alpha=90.00 beta=109.29 gamma=90.00
Closest atoms and distances in Å follow each position.
Space group P2/m (No. 10)
One atom of each set of equivalent atoms:
Pm1 0.0000 0.0000 0.0000 x1  6 S 2.86-2.87
Pm2 0.5000 0.5000 0.0000 x1  6 S 2.84
Pr1 0.0000 0.5000 0.5000 x1  6 S 2.89
Th1 0.5000 0.0000 0.5000 x1  6 S 2.87
S1 0.2512 0.5000 0.2470 x2  3 Pm 2.84-2.86, 2 Th 2.87, 1 Pr 2.89
S2 0.2542 0.0000 0.7543 x2  3 Pm 2.84-2.87, 1 Th 2.87, 2 Pr 2.89

* magnetic moment: 0.00 μB per formula unit
* uncorrected energy: -0.2481 hartree per atom
* Fermi-level density of states: 0.41 states/eV/atom

Material: Pm3Pr2ThS6
Method: DFT, PBE-GGA
State: relaxed

Unit cell a=17.6830 b=4.0553 c=8.1296 alpha=90.00 beta=103.48 gamma=90.00
Closest atoms and distances in Å follow each position.
Space group C2/m (No. 12)
One atom of each set of equivalent atoms:
Pm1 0.0000 0.0000 0.0000 x2  6 S 2.86
Pm2 0.1673 0.5000 0.3349 x4  6 S 2.84-2.85
Pr1 0.1656 0.5000 0.8316 x4  6 S 2.89-2.90
Th1 0.0000 0.0000 0.5000 x2  6 S 2.87-2.88
S1 0.0022 0.5000 0.2498 x4  3 Pm 2.84-2.86, 2 Th 2.88, 1 Pr 2.89
S2 0.1661 0.0000 0.0873 x4  3 Pm 2.85-2.86, 3 Pr 2.89-2.90
S3 0.1669 0.0000 0.5792 x4  3 Pm 2.84-2.85, 1 Th 2.87, 2 Pr 2.89

* magnetic moment: 0.00 μB per formula unit
* uncorrected energy: -0.2446 hartree per atom
* Fermi-level density of states: 0.48 states/eV/atom

Material: PmPr2Th3S6
Method: DFT, PBE-GGA
State: relaxed

Unit cell a=7.0335 b=12.0822 c=7.0702 alpha=90.00 beta=109.03 gamma=90.00
Closest atoms and distances in Å follow each position.
Space group C2/m (No. 12)
One atom of each set of equivalent atoms:
Pm1 0.0000 0.0000 0.0000 x2  6 S 2.85-2.86
Pr1 0.0000 0.3336 0.0000 x4  6 S 2.88-2.89
Th1 0.0000 0.1687 0.5000 x4  6 S 2.86-2.87
Th2 0.0000 0.5000 0.5000 x2  6 S 2.86-2.88
S1 0.2450 0.0000 0.7466 x4  1 Pm 2.86, 3 Th 2.86-2.88, 2 Pr 2.89
S2 0.2480 0.1648 0.2503 x8  1 Pm 2.85, 3 Th 2.86-2.87, 2 Pr 2.88

* magnetic moment: 0.00 μB per formula unit
* uncorrected energy: -0.2583 hartree per atom
* Fermi-level density of states: 0.64 states/eV/atom

Material: PmPr2ThS4
Method: DFT, PBE-GGA
State: relaxed

Unit cell a=7.0573 b=4.0557 c=7.0587 alpha=90.00 beta=109.34 gamma=90.00
Closest atoms and distances in Å follow each position.
Space group P2/m (No. 10)
One atom of each set of equivalent atoms:
Pm1 0.0000 0.0000 0.0000 x1  6 S 2.85
Pr1 0.0000 0.5000 0.5000 x1  6 S 2.90
Pr2 0.5000 0.0000 0.5000 x1  6 S 2.90
Th1 0.5000 0.5000 0.0000 x1  6 S 2.86
S1 0.2478 0.5000 0.2436 x2  2 Pm 2.85, 1 Th 2.86, 3 Pr 2.90
S2 0.2511 0.0000 0.7554 x2  1 Pm 2.85, 2 Th 2.86, 3 Pr 2.90

* magnetic moment: 0.00 μB per formula unit
* uncorrected energy: -0.2482 hartree per atom
* Fermi-level density of states: 0.43 states/eV/atom